[1]
The following is a PBE-GGA calculation of a relaxed structure of Tb6Pm2Er, from Alexandria.

## Properties
The value obtained for the spin magnetization is 0.000 μB per cell. Its energy above the most stable polymorph in this dataset is 0.02 eV/f.u. As for the calculated density: 7969 kg/m³.

Lattice parameters (Å, degrees): 12.8365 14.3359 6.6026 90.00 104.59 90.00
Closest atoms and distances in Å follow each position.
Space group C2/c (No. 15)
One atom of each set of equivalent atoms:
Tb: 0.0358 0.1867 0.0047  5 Tb 3.26-3.58, 1 Er 3.32, 3 Pm 3.39-3.53
Tb: 0.1314 0.4092 0.8160  3 Tb 3.26-3.44, 1 Er 3.41, 2 Pm 3.50-3.54
Tb: 0.2397 0.2015 0.7271  6 Tb 3.38-3.56, 2 Pm 3.46-3.68, 1 Er 3.52
Pm: 0.1443 0.0245 0.3719  3 Pm 3.38-3.65, 7 Tb 3.39-3.68
Er: 0.0000 0.3821 0.2500  10 Tb 3.32-3.71

---

[2]
The following is a PBE-GGA calculation of a relaxed structure of Cs2NaSiH6, from Alexandria.

## Properties
The value obtained for the spin magnetization is 0.000 μB per cell. As for the calculated density: 3183 kg/m³. The calculation puts the uncorrected energy at -2.980 eV per atom.

Lattice parameters (Å, degrees): 6.1667 8.8613 6.1661 90.00 90.00 90.00
Closest atoms and distances in Å follow each position.
Space group Pmmn (No. 59, origin choice 2)
One atom of each set of equivalent atoms:
Cs: 0.2500 0.0000 0.2498  12 H 3.13-3.15
Na: 0.2500 0.2500 0.7498  6 H 2.70-2.78
Si: 0.2500 0.7500 0.7494  6 H 1.65-1.66
H: 0.0602 0.7500 0.5595  1 Si 1.66
H: 0.0602 0.7500 0.9391  1 Si 1.65
H: 0.2500 0.5636 0.7493  1 Si 1.65

---

[3]
The following is a PBE-GGA calculation of a relaxed structure of LaHfAu2, from Alexandria.

## Properties
The value obtained for the spin magnetization is 0.000 μB per cell. Its energy above the most stable polymorph in this dataset is 1.34 eV/f.u. As for the calculated density: 11023 kg/m³.

Lattice parameters (Å, degrees): 7.6714 7.6714 7.2831 90.00 90.00 90.00
Closest atoms and distances in Å follow each position.
Space group I-42d (No. 122)
One atom of each set of equivalent atoms:
La: 0.0000 0.0000 0.0000  4 Au 3.07
Hf: 0.0000 0.0000 0.5000  4 Au 2.67
Au: 0.2103 0.7500 0.6250  2 Hf 2.67

---

[4]
The following is a PBE-GGA calculation of a relaxed structure of SrSi3Cl, from Alexandria.

## Properties
The value obtained for the spin magnetization is 3.457 μB per cell. Its energy above the most stable polymorph in this dataset is 5.14 eV/f.u. The formation energy from raw total energies is 156 kJ/mol of atoms. As for the calculated density: 1736 kg/m³.

Lattice parameters (Å, degrees): 5.8321 5.8321 5.8321 90.00 90.00 90.00
Closest atoms and distances in Å follow each position.
Space group Pm-3m (No. 221)
One atom of each set of equivalent atoms:
Sr: 0.0000 0.0000 0.0000  6 Si 2.92
Si: 0.0000 0.0000 0.5000  2 Sr 2.92
Cl: 0.5000 0.5000 0.5000  12 Si 4.12

---

Question: The lowest calculated density belongs to which entry?
Answer: SrSi3Cl

---

Question: Look up the spin magnetization of the first one.
Answer: 0.000 μB per cell